HPdPt after structural relaxation. Source: the Alexandria database, functional PBE.

The structure in POSCAR format:
```
HPdPt
1.0
-2.154 -0.433 3.081
-5.080 -5.305 -4.298
4.824 -6.599 2.444
Pt Pd H
8 8 8
Cartesian
-1.006 -4.047 2.213 Pt
-1.404 -8.291 -0.986 Pt
1.297 -2.642 1.697 Pt
1.260 -7.498 3.312 Pt
-3.707 -9.695 -0.470 Pt
-3.598 -3.763 0.441 Pt
-3.670 -4.840 -2.085 Pt
1.188 -8.574 0.786 Pt
-1.250 -5.170 -0.439 Pd
-3.632 -6.765 -0.005 Pd
-6.035 -6.440 -1.640 Pd
-1.196 -2.279 0.005 Pd
-1.214 -10.058 1.222 Pd
1.221 -5.572 1.232 Pd
3.625 -5.897 2.866 Pd
-1.161 -7.168 1.666 Pd
-2.322 -4.754 1.194 H
-4.433 -6.303 -2.824 H
-0.088 -7.583 0.033 H
-1.984 -6.656 -1.162 H
-2.286 -1.806 1.633 H
-0.124 -10.532 -0.406 H
2.023 -6.034 4.051 H
-0.426 -5.681 2.389 H
```

Volume = 11.45 A^3/atom
Spin magnetization = 0.0 Bohr magnetons per cell
Energy = -14.596 eV/f.u.
Crystal system = orthorhombic
Space-group type = Pnma, No. 62



La2PaGe3Ir4 after structural relaxation. Source: the Alexandria database, functional PBE.

The structure in POSCAR format:
```
La2PaGe3Ir4
1.0
4.307 0.000 0.000
0.000 4.307 0.000
0.000 0.000 11.048
Ir Ge La Pa
4 3 2 1
Cartesian
2.154 2.154 0.000 Ir
0.000 0.000 0.000 Ir
0.000 2.154 3.870 Ir
2.154 0.000 7.178 Ir
0.000 2.154 1.353 Ge
2.154 0.000 9.695 Ge
0.000 0.000 5.524 Ge
0.000 2.154 8.531 La
2.154 0.000 2.516 La
2.154 2.154 5.524 Pa
```

Volume = 20.50 A^3/atom
Formation energy from the elements = -0.80 eV per atom
Spin magnetization = 0.0 Bohr magnetons per cell
Crystal system = tetragonal
Space-group type = P-4m2, No. 115



Ba2SrPaO6 after structural relaxation. Source: the Alexandria database, functional PBE.

The structure in POSCAR format:
```
Ba2SrPaO6
1.0
-4.001 -2.472 4.224
0.907 -5.954 1.919
2.049 -1.011 5.894
O Ba Sr Pa
6 2 1 1
Cartesian
-1.805 -4.131 8.060 O
-2.523 -3.955 4.763 O
1.471 -5.488 7.281 O
0.763 -5.317 3.981 O
-1.505 -6.991 5.844 O
0.462 -2.447 6.204 O
-0.788 -7.116 9.076 Ba
-0.256 -2.311 2.947 Ba
-0.522 -4.717 6.017 Sr
0.000 0.000 0.000 Pa
```

Volume = 18.38 A^3/atom
Spin magnetization = 1.1 Bohr magnetons per cell
Formation energy (no corrections) = -2840 kJ/mol of formula units
Crystal system = trigonal
Space-group type = R3, No. 146



Mg12Tl6Cd after structural relaxation. Source: the Alexandria database, functional PBE.

The structure in POSCAR format:
```
Mg12Tl6Cd
1.0
-2.058 -4.847 -6.153
3.626 -5.067 5.174
-7.103 1.495 3.594
Mg Tl Cd
12 6 1
Cartesian
2.039 -5.032 2.435 Mg
-7.573 -3.387 0.179 Mg
-5.256 -2.877 2.238 Mg
-2.847 -5.570 -1.335 Mg
-1.035 -8.135 -1.269 Mg
-3.277 -3.414 -3.607 Mg
-4.572 -3.075 -0.765 Mg
-0.963 -5.345 3.379 Mg
-2.688 -2.850 3.949 Mg
-2.257 -5.006 6.222 Mg
-0.279 -5.542 0.376 Mg
-4.500 -0.284 3.883 Mg
-0.086 -2.645 2.052 Tl
-4.287 -5.539 3.780 Tl
-2.973 -1.028 1.148 Tl
-1.248 -2.880 -1.166 Tl
-2.562 -7.392 1.466 Tl
-5.448 -5.775 0.562 Tl
0.000 0.000 0.000 Cd
```

Volume = 25.41 A^3/atom
Formation energy from the elements = 0.04 eV per atom
Spin magnetization = 0.0 Bohr magnetons per cell
Crystal system = trigonal
Space-group type = R-3, No. 148



Ca3AlCu3 after structural relaxation. Source: the Alexandria database, functional PBE.

The structure in POSCAR format:
```
Ca3AlCu3
1.0
4.265 0.000 0.000
-2.133 5.348 0.000
0.000 0.000 13.633
Ca Cu Al
6 6 2
Cartesian
2.133 0.095 10.225 Ca
2.133 2.980 5.389 Ca
0.000 2.368 12.206 Ca
0.000 5.253 3.408 Ca
2.133 2.980 1.427 Ca
0.000 2.368 8.244 Ca
0.000 0.693 1.178 Cu
2.133 4.656 7.995 Cu
2.133 4.656 12.454 Cu
0.000 0.693 5.638 Cu
2.133 3.386 10.225 Cu
0.000 1.962 3.408 Cu
2.133 0.000 6.816 Al
2.133 0.000 0.000 Al
```

Volume = 22.21 A^3/atom
Formation energy from the elements = -0.21 eV per atom
Spin magnetization = 0.0 Bohr magnetons per cell
Crystal system = orthorhombic
Space-group type = Cmcm, No. 63



Zn2Ir after structural relaxation. Source: the Alexandria database, functional PBE.

The structure in POSCAR format:
```
Zn2Ir
1.0
7.254 0.000 0.000
-3.627 6.282 0.000
0.000 0.000 2.913
Zn Ir
6 3
Cartesian
-2.237 3.874 1.456 Zn
2.569 4.450 0.000 Zn
2.116 0.000 0.000 Zn
-1.058 1.832 0.000 Zn
1.391 2.409 1.456 Zn
4.473 0.000 1.456 Zn
3.627 2.094 0.000 Ir
0.000 0.000 1.456 Ir
0.000 4.188 0.000 Ir
```

Volume = 14.75 A^3/atom
Formation energy from the elements = -0.14 eV per atom
Spin magnetization = 0.0 Bohr magnetons per cell
Crystal system = hexagonal
Space-group type = P-62m, No. 189



RbNa2InHg after structural relaxation. Source: the Alexandria database, functional PBE.

The structure in POSCAR format:
```
RbNa2InHg
1.0
5.959 0.000 0.000
0.000 5.959 0.000
0.000 0.000 5.656
Na Hg In Rb
2 1 1 1
Cartesian
2.980 0.000 0.000 Na
0.000 2.980 0.000 Na
0.000 0.000 0.000 Hg
0.000 0.000 2.828 In
2.980 2.980 2.828 Rb
```

Volume = 40.17 A^3/atom
Formation energy from the elements = -0.06 eV per atom
Spin magnetization = 0.0 Bohr magnetons per cell
Crystal system = tetragonal
Space-group type = P4/mmm, No. 123



Tl2S5I2 after structural relaxation. Source: the Alexandria database, functional PBE.

The structure in POSCAR format:
```
Tl2S5I2
1.0
3.858 0.000 1.320
1.270 12.441 2.587
-2.087 -0.664 12.394
S I Tl
10 4 4
Cartesian
3.781 8.700 6.486 S
1.624 4.853 12.755 S
2.287 3.078 10.851 S
-0.121 0.008 6.249 S
3.308 7.830 3.331 S
0.638 2.149 11.123 S
-0.020 3.948 13.055 S
2.645 9.628 5.261 S
0.565 6.924 3.255 S
2.916 11.769 9.968 S
0.124 8.517 11.763 I
3.762 0.000 1.287 I
2.630 3.260 4.440 I
1.326 5.889 8.084 I
1.855 11.113 13.099 Tl
0.959 0.665 3.124 Tl
-0.200 3.437 6.309 Tl
2.890 8.340 9.872 Tl
```

Volume = 35.25 A^3/atom
Spin magnetization = 0.0 Bohr magnetons per cell
Formation energy (no corrections) = -93 kJ/mol of formula units
Crystal system = monoclinic
Space-group type = C2, No. 5